# PBE MgSe2Br, relaxed
data_MgSe2Br
_chemical_formula_sum 'Mg2 Se4 Br2'
_cell_length_a 12.3484
_cell_length_b 3.4648
_cell_length_c 5.4952
_cell_angle_alpha 90.00
_cell_angle_beta 99.79
_cell_angle_gamma 90.00
_space_group_name_H-M_alt 'C 1 m 1'
_space_group_IT_number 8
_space_group_name_Hall 'C -2y'
loop_
_atom_site_label
_atom_site_type_symbol
_atom_site_fract_x
_atom_site_fract_y
_atom_site_fract_z
Mg1 Mg 0.0000 0.0000 0.0000
Se1 Se 0.0056 0.5000 0.5714
Se2 Se 0.1366 0.5000 0.3148
Br1 Br 0.3402 0.0000 0.9471
# **Distance to the lowest polymorph of the same formula**: 33.1 meV per atom
# **Magnetic moment**: 0.0 Bohr magnetons per cell
# **Electronic total energy**: -25.49 eV for the cell shown